A plane-wave DFT calculation with PBE was carried out for crystalline TlCdCuSe2 at its relaxed geometry.

Lattice parameters (Å, degrees): 7.333 5.373 7.439 90.00 103.40 90.00
Element x y z (fractional)
Tl: 0.000 0.184 0.250
Tl: 0.000 0.816 0.750
Cd: 0.500 0.496 0.750
Cd: 0.500 0.504 0.250
Cu: 0.500 0.000 0.000
Cu: 0.500 0.000 0.500
Se: 0.265 0.286 0.948
Se: 0.265 0.714 0.448
Se: 0.735 0.286 0.552
Se: 0.735 0.714 0.052

Computed properties:
M_tot	0.0	μB/f.u.
calculated volume	28.5	Å³/atom
symmetry	P2/c
E_form (uncorrected)	-0.36	eV per atom

***

A plane-wave DFT calculation with PBE was carried out for crystalline TlCdCu3Se4 at its relaxed geometry.

Lattice parameters (Å, degrees): 6.077 6.077 6.077 90.00 90.00 90.00
Element x y z (fractional)
Tl: 0.000 0.000 0.000
Cd: 0.500 0.500 0.500
Cu: 0.000 0.000 0.500
Cu: 0.000 0.500 0.000
Cu: 0.500 0.000 0.000
Se: 0.252 0.252 0.252
Se: 0.252 0.748 0.748
Se: 0.748 0.252 0.748
Se: 0.748 0.748 0.252

Computed properties:
M_tot	0.0	μB/f.u.
calculated volume	24.9	Å³/atom
symmetry	P-43m
E_form (uncorrected)	0.00	eV per atom

***

A plane-wave DFT calculation with PBE was carried out for crystalline ZnCdCuSe2 at its relaxed geometry.

Lattice parameters (Å, degrees): 5.312 5.312 4.937 90.00 90.00 90.00
Element x y z (fractional)
Zn: 0.000 0.000 0.000
Cd: 0.000 0.000 0.500
Cu: 0.500 0.500 0.000
Se: 0.000 0.500 0.500
Se: 0.500 0.000 0.500

Computed properties:
M_tot	0.0	μB/f.u.
calculated volume	27.9	Å³/atom
symmetry	P4/mmm
E_form (uncorrected)	0.74	eV per atom

***

A plane-wave DFT calculation with PBE was carried out for crystalline Zr2CdCuSe at its relaxed geometry.

Lattice parameters (Å, degrees): 5.286 5.286 4.601 90.00 90.00 90.00
Element x y z (fractional)
Zr: 0.000 0.500 0.000
Zr: 0.500 0.000 0.000
Cd: 0.000 0.000 0.000
Cu: 0.000 0.000 0.500
Se: 0.500 0.500 0.500

Computed properties:
M_tot	0.0	μB/f.u.
calculated volume	25.7	Å³/atom
symmetry	P4/mmm
E_form (uncorrected)	0.81	eV per atom

***

A plane-wave DFT calculation with PBE was carried out for crystalline CdCuSi at its relaxed geometry.

Lattice parameters (Å, degrees): 2.716 3.704 10.185 90.00 90.00 90.00
Element x y z (fractional)
Cd: 0.000 0.000 0.000
Cd: 0.500 0.500 0.500
Cu: 0.000 0.000 0.693
Cu: 0.500 0.500 0.193
Si: 0.000 0.000 0.292
Si: 0.500 0.500 0.792

Computed properties:
M_tot	0.0	μB/f.u.
calculated volume	17.1	Å³/atom
symmetry	Imm2
polymorph energy (0 for the lowest one)	128	meV/atom
E_form (uncorrected)	0.25	eV per atom

***

A plane-wave DFT calculation with PBE was carried out for crystalline CdCuSi4 at its relaxed geometry.

Lattice parameters (Å, degrees): 5.164 5.164 5.164 60.00 60.00 60.00
Element x y z (fractional)
Cd: 0.000 0.000 0.000
Cu: 0.750 0.750 0.750
Si: 0.376 0.376 0.376
Si: 0.376 0.376 0.873
Si: 0.376 0.873 0.376
Si: 0.873 0.376 0.376

Computed properties:
M_tot	0.0	μB/f.u.
calculated volume	16.2	Å³/atom
symmetry	F-43m
E_form (uncorrected)	0.54	eV per atom

***

A plane-wave DFT calculation with PBE was carried out for crystalline CdCu2Si at its relaxed geometry.

Lattice parameters (Å, degrees): 3.826 3.826 8.139 90.00 90.00 90.00
Element x y z (fractional)
Cd: 0.000 0.000 0.000
Cd: 0.500 0.500 0.500
Cu: 0.000 0.000 0.500
Cu: 0.000 0.500 0.750
Cu: 0.500 0.000 0.250
Cu: 0.500 0.500 0.000
Si: 0.000 0.500 0.250
Si: 0.500 0.000 0.750

Computed properties:
M_tot	0.0	μB/f.u.
calculated volume	14.9	Å³/atom
symmetry	I-4m2
polymorph energy (0 for the lowest one)	127	meV/atom
E_form (uncorrected)	0.21	eV per atom

***

A plane-wave DFT calculation with PBE was carried out for crystalline CdCuSi2 at its relaxed geometry.

Lattice parameters (Å, degrees): 2.781 2.781 29.729 90.00 90.00 120.00
Element x y z (fractional)
Cd: 0.000 0.000 0.000
Cd: 0.333 0.667 0.667
Cd: 0.667 0.333 0.333
Cu: 0.000 0.000 0.500
Cu: 0.333 0.667 0.167
Cu: 0.667 0.333 0.833
Si: 0.000 0.000 0.234
Si: 0.000 0.000 0.766
Si: 0.333 0.667 0.432
Si: 0.333 0.667 0.901
Si: 0.667 0.333 0.099
Si: 0.667 0.333 0.568

Computed properties:
M_tot	0.0	μB/f.u.
calculated volume	16.6	Å³/atom
symmetry	R-3m
E_form (uncorrected)	0.25	eV per atom

***

A plane-wave DFT calculation with PBE was carried out for crystalline Cd2CuSi at its relaxed geometry.

Lattice parameters (Å, degrees): 5.765 8.533 2.944 90.00 92.52 90.00
Element x y z (fractional)
Cd: 0.250 0.250 0.000
Cd: 0.250 0.750 0.000
Cd: 0.750 0.250 0.000
Cd: 0.750 0.750 0.000
Cu: 0.000 0.000 0.500
Cu: 0.500 0.500 0.500
Si: 0.000 0.500 0.500
Si: 0.500 0.000 0.500

Computed properties:
M_tot	0.0	μB/f.u.
calculated volume	18.1	Å³/atom
symmetry	C2/m
E_form (uncorrected)	0.31	eV per atom

***

A plane-wave DFT calculation with PBE was carried out for crystalline CdCu2Si at its relaxed geometry.

Lattice parameters (Å, degrees): 4.029 4.029 7.346 90.00 90.00 90.00
Element x y z (fractional)
Cd: 0.000 0.000 0.000
Cd: 0.500 0.500 0.500
Cu: 0.000 0.500 0.250
Cu: 0.000 0.500 0.750
Cu: 0.500 0.000 0.250
Cu: 0.500 0.000 0.750
Si: 0.000 0.000 0.500
Si: 0.500 0.500 0.000

Computed properties:
M_tot	0.0	μB/f.u.
calculated volume	14.9	Å³/atom
symmetry	I4/mmm
polymorph energy (0 for the lowest one)	122	meV/atom
E_form (uncorrected)	0.20	eV per atom

***

A plane-wave DFT calculation with PBE was carried out for crystalline CdCuSi at its relaxed geometry.

Lattice parameters (Å, degrees): 4.079 4.196 11.647 90.00 90.00 90.00
Element x y z (fractional)
Cd: 0.000 0.000 0.000
Cd: 0.000 0.500 0.500
Cd: 0.500 0.000 0.500
Cd: 0.500 0.500 0.000
Cu: 0.000 0.000 0.673
Cu: 0.000 0.500 0.173
Cu: 0.500 0.000 0.173
Cu: 0.500 0.500 0.673
Si: 0.000 0.000 0.297
Si: 0.000 0.500 0.797
Si: 0.500 0.000 0.797
Si: 0.500 0.500 0.297

Computed properties:
M_tot	0.0	μB/f.u.
calculated volume	16.6	Å³/atom
symmetry	Fmm2
polymorph energy (0 for the lowest one)	119	meV/atom
E_form (uncorrected)	0.24	eV per atom

***

A plane-wave DFT calculation with PBE was carried out for crystalline Cd2CuSi at its relaxed geometry.

Lattice parameters (Å, degrees): 4.215 4.215 4.040 90.00 90.00 90.00
Element x y z (fractional)
Cd: 0.000 0.500 0.000
Cd: 0.500 0.000 0.000
Cu: 0.000 0.000 0.500
Si: 0.500 0.500 0.500

Computed properties:
M_tot	0.0	μB/f.u.
calculated volume	17.9	Å³/atom
symmetry	P4/mmm
E_form (uncorrected)	0.29	eV per atom